A plane-wave DFT calculation with PBE-GGA was carried out for a geometry-optimized CaCo2Ru2 structure.

Results
energy relative to the elements = 0.271 eV per atom
offset from the most stable computed form = 30 meV per atom
V = 147.7 Å³/cell
crystal system = tetragonal

abc: 7.4350 7.4350 2.6719
angles: 90.00 90.00 90.00
Last column: nearest neighbours and their distance in Å.
Positions (direct):
Ru: 0.1224 0.3776 0.0000  6 Co 2.55-2.58, 3 Ru 2.57-2.67
Ru: 0.8776 0.6224 0.0000  6 Co 2.55-2.58, 3 Ru 2.57-2.67
Ru: 0.6224 0.1224 0.0000  6 Co 2.55-2.58, 3 Ru 2.57-2.67
Ru: 0.3776 0.8776 0.0000  6 Co 2.55-2.58, 3 Ru 2.57-2.67
Co: 0.6709 0.8291 0.5000  6 Ru 2.55-2.58, 2 Co 2.67
Co: 0.1709 0.6709 0.5000  6 Ru 2.55-2.58, 2 Co 2.67
Co: 0.3291 0.1709 0.5000  6 Ru 2.55-2.58, 2 Co 2.67
Co: 0.8291 0.3291 0.5000  6 Ru 2.55-2.58, 2 Co 2.67
Ca: 0.5000 0.5000 0.0000  2 Ca 2.67, 4 Ru 2.95
Ca: 0.0000 0.0000 0.0000  2 Ca 2.67, 4 Ru 2.95

A plane-wave DFT calculation with PBE-GGA was carried out for a geometry-optimized Ca4CoRu structure.

Results
energy relative to the elements = 1.192 eV per atom
V = 157.2 Å³/cell
crystal system = cubic

abc: 6.0583 6.0583 6.0583
angles: 60.00 60.00 60.00
Last column: nearest neighbours and their distance in Å.
Positions (direct):
Ru: 0.0000 0.0000 0.0000  12 Ca 3.55, 4 Co 3.71
Ca: 0.3746 0.3746 0.8762  6 Ca 3.02-3.04
Ca: 0.8762 0.3746 0.3746  6 Ca 3.02-3.04
Ca: 0.3746 0.8762 0.3746  6 Ca 3.02-3.04
Ca: 0.3746 0.3746 0.3746  6 Ca 3.02-3.04
Co: 0.7500 0.7500 0.7500  12 Ca 3.55, 4 Ru 3.71

A plane-wave DFT calculation with PBE-GGA was carried out for a geometry-optimized CaCoRu2 structure.

Results
energy relative to the elements = 0.612 eV per atom
offset from the most stable computed form = 268 meV per atom
V = 62.7 Å³/cell
crystal system = trigonal

abc: 9.1558 9.1558 9.1558
angles: 17.81 17.81 17.81
Last column: nearest neighbours and their distance in Å.
Positions (direct):
Ca: 0.4978 0.4978 0.4978  6 Ca 2.83, 3 Co 2.91, 3 Ru 3.03
Ru: 0.0015 0.0015 0.0015  3 Co 2.58, 9 Ru 2.63-2.83
Ru: 0.2587 0.2587 0.2587  9 Ru 2.63-2.83
Co: 0.7420 0.7420 0.7420  3 Ru 2.58, 6 Co 2.83

A plane-wave DFT calculation with PBE-GGA was carried out for a geometry-optimized CaCo2Ru structure.

Results
energy relative to the elements = 0.403 eV per atom
offset from the most stable computed form = 212 meV per atom
V = 62.0 Å³/cell
crystal system = monoclinic

abc: 4.0696 2.7926 5.6369
angles: 75.53 90.00 90.00
Last column: nearest neighbours and their distance in Å.
Positions (direct):
Ru: 0.0000 0.4783 0.4168  6 Co 2.46-2.61
Co: 0.5000 0.0541 0.2646  2 Co 2.36, 4 Ru 2.60-2.61
Co: 0.0000 0.1659 0.0446  2 Co 2.36, 2 Ru 2.46-2.47
Ca: 0.5000 0.8016 0.7741  7 Co 2.78-3.02, 2 Ca 2.79

A plane-wave DFT calculation with PBE-GGA was carried out for a geometry-optimized CaCoRu2 structure.

Results
energy relative to the elements = 0.344 eV per atom
offset from the most stable computed form = 0 meV per atom
V = 62.2 Å³/cell
crystal system = orthorhombic

abc: 5.6115 5.6115 4.5336
angles: 66.20 66.20 28.64
Last column: nearest neighbours and their distance in Å.
Positions (direct):
Co: 0.2500 0.2500 0.2500  4 Ru 2.52, 4 Ca 2.66, 2 Co 2.78
Ru: 0.9633 0.9633 0.0362  2 Co 2.52, 6 Ru 2.75-2.78
Ru: 0.5367 0.5367 0.4638  2 Co 2.52, 6 Ru 2.75-2.78
Ca: 0.7500 0.7500 0.7500  4 Co 2.66, 2 Ca 2.78

A plane-wave DFT calculation with PBE-GGA was carried out for a geometry-optimized CaCoRu structure.

Results
energy relative to the elements = 0.209 eV per atom
offset from the most stable computed form = 0 meV per atom
V = 113.2 Å³/cell
crystal system = orthorhombic

abc: 6.1964 6.1964 6.1950
angles: 64.13 137.83 134.04
Last column: nearest neighbours and their distance in Å.
Positions (direct):
Co: 0.0000 0.0000 0.5000  2 Ru 2.40, 2 Co 2.42
Co: 0.5000 0.5000 0.5000  2 Ru 2.40, 2 Co 2.42
Ru: 0.7499 0.9471 0.6970  2 Co 2.40, 2 Ru 2.49
Ru: 0.2501 0.0529 0.3030  2 Co 2.40, 2 Ru 2.49
Ca: 0.7500 0.3764 0.1264  4 Co 2.86, 2 Ru 3.05
Ca: 0.2500 0.6236 0.8736  4 Co 2.86, 2 Ru 3.05

A plane-wave DFT calculation with PBE-GGA was carried out for a geometry-optimized CaCo2Ru structure.

Results
energy relative to the elements = 0.365 eV per atom
offset from the most stable computed form = 174 meV per atom
V = 63.6 Å³/cell
crystal system = tetragonal

abc: 3.0333 3.0333 6.9167
angles: 90.00 90.00 90.00
Last column: nearest neighbours and their distance in Å.
Positions (direct):
Co: 0.0000 0.0000 0.0766  4 Co 2.40, 1 Ru 2.50
Co: 0.5000 0.5000 0.2309  4 Co 2.40, 4 Ru 2.58
Ca: 0.5000 0.5000 0.7537  4 Ca 3.03, 4 Ru 3.06, 5 Co 3.10-3.30
Ru: 0.0000 0.0000 0.4388  5 Co 2.50-2.58

A plane-wave DFT calculation with PBE-GGA was carried out for a geometry-optimized CaCoRu2 structure.

Results
energy relative to the elements = 0.492 eV per atom
offset from the most stable computed form = 148 meV per atom
V = 62.8 Å³/cell
crystal system = cubic

abc: 4.4631 4.4631 4.4631
angles: 120.05 120.05 89.92
Last column: nearest neighbours and their distance in Å.
Positions (direct):
Ru: 0.0000 0.0000 0.0000  4 Co 2.73, 4 Ru 2.73
Ru: 0.2500 0.7500 0.5000  4 Ca 2.73, 4 Ru 2.73
Co: 0.7500 0.2500 0.5000  4 Ca 2.73, 4 Ru 2.73
Ca: 0.5000 0.5000 0.0000  4 Ru 2.73, 4 Co 2.73

A plane-wave DFT calculation with PBE-GGA was carried out for a geometry-optimized CaCoRu2 structure.

Results
energy relative to the elements = 0.414 eV per atom
offset from the most stable computed form = 70 meV per atom
V = 62.4 Å³/cell
crystal system = tetragonal

abc: 2.7956 2.7956 7.9822
angles: 90.00 90.00 90.00
Last column: nearest neighbours and their distance in Å.
Positions (direct):
Ca: 0.5000 0.5000 0.2500  4 Ca 2.80, 8 Ru 3.11
Ru: 0.0000 0.0000 0.5510  4 Co 2.54, 4 Ru 2.80
Ru: 0.0000 0.0000 0.9490  4 Co 2.54, 4 Ru 2.80
Co: 0.5000 0.5000 0.7500  8 Ru 2.54, 4 Co 2.80

A plane-wave DFT calculation with PBE-GGA was carried out for a geometry-optimized CaCo2Ru structure.

Results
energy relative to the elements = 0.413 eV per atom
offset from the most stable computed form = 222 meV per atom
V = 60.4 Å³/cell
crystal system = cubic

abc: 4.4043 4.4043 4.4043
angles: 60.00 60.00 60.00
Last column: nearest neighbours and their distance in Å.
Positions (direct):
Ru: 0.5000 0.5000 0.5000  8 Co 2.70
Co: 0.7500 0.7500 0.7500  4 Ru 2.70, 4 Ca 2.70
Co: 0.2500 0.2500 0.2500  4 Ca 2.70, 4 Ru 2.70
Ca: 0.0000 0.0000 0.0000  8 Co 2.70

A plane-wave DFT calculation with PBE-GGA was carried out for a geometry-optimized CaCoRu2 structure.

Results
energy relative to the elements = 0.486 eV per atom
offset from the most stable computed form = 143 meV per atom
V = 65.1 Å³/cell
crystal system = monoclinic

abc: 4.3331 2.8097 5.4407
angles: 79.14 90.00 90.00
Last column: nearest neighbours and their distance in Å.
Positions (direct):
Co: 0.5000 0.7500 0.7500  4 Ru 2.53, 2 Co 2.81, 2 Ca 2.82
Ca: 0.5000 0.2500 0.2500  2 Ca 2.81, 2 Co 2.82, 8 Ru 2.93-3.13
Ru: 0.0000 0.9353 0.9546  2 Co 2.53, 4 Ru 2.57-2.81
Ru: 0.0000 0.5647 0.5454  2 Co 2.53, 4 Ru 2.57-2.81

A plane-wave DFT calculation with PBE-GGA was carried out for a geometry-optimized CaCo2Ru structure.

Results
energy relative to the elements = 0.531 eV per atom
offset from the most stable computed form = 339 meV per atom
V = 60.3 Å³/cell
crystal system = cubic

abc: 4.4011 4.4011 4.4011
angles: 60.00 60.00 60.00
Last column: nearest neighbours and their distance in Å.
Positions (direct):
Co: 0.2500 0.2500 0.2500  4 Co 2.70, 4 Ca 2.70
Co: 0.0000 0.0000 0.0000  4 Ru 2.70, 4 Co 2.70
Ru: 0.7500 0.7500 0.7500  4 Co 2.70, 4 Ca 2.70
Ca: 0.5000 0.5000 0.5000  4 Co 2.70, 4 Ru 2.70

A plane-wave DFT calculation with PBE-GGA was carried out for a geometry-optimized CaCoRu2 structure.

Results
energy relative to the elements = 0.407 eV per atom
offset from the most stable computed form = 64 meV per atom
V = 67.0 Å³/cell
crystal system = monoclinic

abc: 4.6541 4.6541 5.4096
angles: 80.76 80.76 35.48
Last column: nearest neighbours and their distance in Å.
Positions (direct):
Ca: 0.5036 0.5036 0.4846  2 Ca 2.84, 3 Co 2.84-2.95, 7 Ru 3.02-3.13
Ru: 0.9953 0.9953 0.9881  3 Co 2.57-2.81, 5 Ru 2.57-2.84
Ru: 0.7347 0.7347 0.8358  2 Co 2.44, 3 Ru 2.57-2.58
Co: 0.2664 0.2664 0.1915  4 Ru 2.44-2.57

A plane-wave DFT calculation with PBE-GGA was carried out for a geometry-optimized CaCoRu2 structure.

Results
energy relative to the elements = 0.626 eV per atom
offset from the most stable computed form = 282 meV per atom
V = 61.9 Å³/cell
crystal system = tetragonal

abc: 4.9756 4.9756 4.9756
angles: 134.39 134.39 66.49
Last column: nearest neighbours and their distance in Å.
Positions (direct):
Ru: 0.5000 0.5000 0.0000  4 Ru 2.73, 4 Ca 2.84, 4 Co 2.84
Ru: 0.0000 0.0000 0.0000  4 Ru 2.73, 4 Co 2.84, 4 Ca 2.84
Ca: 0.2500 0.7500 0.5000  4 Co 2.73, 8 Ru 2.84
Co: 0.7500 0.2500 0.5000  4 Ca 2.73, 8 Ru 2.84

A plane-wave DFT calculation with PBE-GGA was carried out for a geometry-optimized CaCo2Ru structure.

Results
energy relative to the elements = 0.192 eV per atom
offset from the most stable computed form = 0 meV per atom
V = 74.0 Å³/cell
crystal system = monoclinic

abc: 4.1424 4.1424 5.5234
angles: 68.05 68.05 59.96
Last column: nearest neighbours and their distance in Å.
Positions (direct):
Co: 0.0592 0.0592 0.8225  3 Ru 2.42, 3 Co 2.50
Co: 0.4408 0.4408 0.6775  3 Ru 2.42, 3 Co 2.50
Ca: 0.2500 0.2500 0.2500  2 Co 2.85
Ru: 0.7500 0.7500 0.7500  6 Co 2.42

A plane-wave DFT calculation with PBE-GGA was carried out for a geometry-optimized CaCoRu2 structure.

Results
energy relative to the elements = 0.518 eV per atom
offset from the most stable computed form = 174 meV per atom
V = 62.4 Å³/cell
crystal system = orthorhombic

abc: 2.9712 4.5963 4.5708
angles: 90.00 90.00 90.00
Last column: nearest neighbours and their distance in Å.
Positions (direct):
Ca: 0.5000 0.0000 0.5000  4 Ru 2.73, 4 Co 2.74, 2 Ca 2.97
Ru: 0.5000 0.5000 0.0000  4 Co 2.73, 6 Ru 2.74-2.97
Ru: 0.0000 0.0000 0.0000  4 Ca 2.73, 6 Ru 2.74-2.97
Co: 0.0000 0.5000 0.5000  4 Ru 2.73, 4 Ca 2.74, 2 Co 2.97

A plane-wave DFT calculation with PBE-GGA was carried out for a geometry-optimized CaCoRu structure.

Results
energy relative to the elements = 0.648 eV per atom
offset from the most stable computed form = 439 meV per atom
V = 56.8 Å³/cell
crystal system = cubic

abc: 4.3148 4.3148 4.3148
angles: 60.00 60.00 60.00
Last column: nearest neighbours and their distance in Å.
Positions (direct):
Co: 0.7500 0.7500 0.7500  4 Ca 2.64, 4 Ru 2.64
Ca: 0.5000 0.5000 0.5000  4 Co 2.64
Ru: 0.0000 0.0000 0.0000  4 Co 2.64

A plane-wave DFT calculation with PBE-GGA was carried out for a geometry-optimized CaCo2Ru structure.

Results
energy relative to the elements = 0.684 eV per atom
offset from the most stable computed form = 492 meV per atom
V = 59.8 Å³/cell
crystal system = trigonal

abc: 8.9709 8.9709 8.9709
angles: 17.94 17.94 17.94
Last column: nearest neighbours and their distance in Å.
Positions (direct):
Co: 0.5085 0.5085 0.5085  3 Ru 2.56, 6 Co 2.80
Co: 0.9915 0.9915 0.9915  3 Ru 2.56, 6 Co 2.80
Ca: 0.7500 0.7500 0.7500  6 Ca 2.80, 6 Co 2.92
Ru: 0.2500 0.2500 0.2500  6 Co 2.56, 6 Ru 2.80

A plane-wave DFT calculation with PBE-GGA was carried out for a geometry-optimized CaCo2Ru structure.

Results
energy relative to the elements = 0.569 eV per atom
offset from the most stable computed form = 378 meV per atom
V = 60.7 Å³/cell
crystal system = orthorhombic

abc: 3.1722 4.4291 4.3170
angles: 90.00 90.00 90.00
Last column: nearest neighbours and their distance in Å.
Positions (direct):
Ru: 0.5000 0.0000 0.5000  4 Co 2.68, 4 Ca 2.72
Co: 0.0000 0.0000 0.0000  4 Ru 2.68, 4 Co 2.72
Co: 0.5000 0.5000 0.0000  4 Ca 2.68, 4 Co 2.72
Ca: 0.0000 0.5000 0.5000  4 Co 2.68, 4 Ru 2.72

A plane-wave DFT calculation with PBE-GGA was carried out for a geometry-optimized CaCo2Ru structure.

Results
energy relative to the elements = 0.658 eV per atom
offset from the most stable computed form = 467 meV per atom
V = 166.5 Å³/cell
crystal system = tetragonal

abc: 4.5198 4.5198 8.7537
angles: 75.04 75.04 90.00
Last column: nearest neighbours and their distance in Å.
Positions (direct):
Ru: 0.7500 0.2500 0.5000  4 Co 2.33
Ru: 0.0000 0.0000 0.0000  4 Co 2.33
Co: 0.8733 0.1250 0.2500  2 Co 2.26, 2 Ru 2.33
Co: 0.3750 0.1267 0.7500  2 Co 2.26, 2 Ru 2.33
Co: 0.8767 0.6250 0.2500  2 Co 2.26, 2 Ru 2.33
Co: 0.8750 0.1233 0.7500  2 Co 2.26, 2 Ru 2.33
Ca: 0.2500 0.7500 0.5000  4 Ru 3.20, 8 Co 3.24-3.25
Ca: 0.5000 0.5000 0.0000  4 Ru 3.20, 8 Co 3.24-3.25